1.
VASP calculation (PBE) on a relaxed structure of LaTbPm5Dy2.

The structure belongs to space group Cmc2_1 (No. 36); the cell edges are 5.719, 20.237 and 10.686 Å and the angles 90.00°, 90.00° and 90.00°. The distinct sites, in fractional coordinates, are La at (0.000, 0.084, 0.000), Tb at (0.000, 0.300, 0.560), Pm at (0.000, 0.020, 0.289), Pm at (0.000, 0.114, 0.573), Pm at (0.000, 0.204, 0.255), Pm at (0.000, 0.219, 0.862), Pm at (0.000, 0.483, 0.573), Dy at (0.000, 0.384, 0.869) and Dy at (0.000, 0.387, 0.282).

The value obtained for the total energy is -4.57 eV per atom. The crystal system is orthorhombic.

***

2.
VASP calculation (PBE) on a relaxed structure of Cs4AgO2.

The structure belongs to space group R-3m (No. 166, hexagonal axes); the cell edges are 5.8434, 5.8434 and 24.6136 Å and the angles 90.00°, 90.00° and 120.00°. The distinct sites, in fractional coordinates, are Cs at (0.0000, 0.0000, 0.1090), Cs at (0.0000, 0.0000, 0.3024), Ag at (0.0000, 0.0000, 0.5000) and O at (0.0000, 0.0000, 0.4161).

The value obtained for the uncorrected formation energy is -0.620 eV/atom. The crystal system is trigonal.

***

3.
VASP calculation (PBE) on a relaxed structure of NaYCu3.

The structure belongs to space group Pm-3m (No. 221); the cell edges are 4.660, 4.660 and 4.660 Å and the angles 90.00°, 90.00° and 90.00°. The distinct sites, in fractional coordinates, are Na at (0.000, 0.000, 0.000), Y at (0.500, 0.500, 0.500) and Cu at (0.000, 0.000, 0.500).

As for the energy above the most stable polymorph in this dataset: 0 meV per atom. The crystal system is cubic.

***

4.
VASP calculation (PBE) on a relaxed structure of La2CoSb.

The structure belongs to space group Cmmm (No. 65); the cell edges are 4.726, 5.595 and 7.898 Å and the angles 90.00°, 90.00° and 90.00°. The distinct sites, in fractional coordinates, are La at (0.000, 0.000, 0.211), Co at (0.000, 0.500, 0.000) and Sb at (0.000, 0.500, 0.500).

The value obtained for the uncorrected formation energy is -0.417 eV/atom. As for the energy above the most stable polymorph in this dataset: 132 meV per atom. The crystal system is orthorhombic.

***

5.
VASP calculation (PBE) on a relaxed structure of HfBePb2.

The structure belongs to space group I-42d (No. 122); the cell edges are 7.632, 7.632 and 6.121 Å and the angles 90.00°, 90.00° and 90.00°. The distinct sites, in fractional coordinates, are Hf at (0.000, 0.000, 0.000), Be at (0.000, 0.000, 0.500) and Pb at (0.198, 0.250, 0.625).

The value obtained for the total energy is -4.78 eV per atom. The crystal system is tetragonal.

***

6.
VASP calculation (PBE) on a relaxed structure of Cr2ReRuN.

The structure belongs to space group P4/mmm (No. 123); the cell edges are 4.521, 4.521 and 4.668 Å and the angles 90.00°, 90.00° and 90.00°. The distinct sites, in fractional coordinates, are Cr at (0.000, 0.500, 0.000), Re at (0.000, 0.000, 0.000), Ru at (0.000, 0.000, 0.500) and N at (0.500, 0.500, 0.500).

The value obtained for the uncorrected formation energy is 2.763 eV/atom. As for the energy above the most stable polymorph in this dataset: 2810 meV per atom. The crystal system is tetragonal.

***

7.
VASP calculation (PBE) on a relaxed structure of CdCuBiPd.

The structure belongs to space group F-43m (No. 216); the cell edges are 6.782, 6.782 and 6.782 Å and the angles 90.00°, 90.00° and 90.00°. The distinct sites, in fractional coordinates, are Cd at (0.000, 0.000, 0.000), Cu at (0.250, 0.250, 0.250), Bi at (0.000, 0.000, 0.500) and Pd at (0.250, 0.250, 0.750).

The value obtained for the total energy is -3.52 eV per atom. The crystal system is cubic.

***

8.
VASP calculation (PBE) on a relaxed structure of Pr2Pt17.

The structure belongs to space group R-3m (No. 166, hexagonal axes); the cell edges are 9.3267, 9.3267 and 13.4262 Å and the angles 90.00°, 90.00° and 120.00°. The distinct sites, in fractional coordinates, are Pr at (0.0000, 0.0000, 0.1626), Pt at (0.0000, 0.0000, 0.3945), Pt at (0.0000, 0.3068, 0.5000), Pt at (0.0000, 0.5000, 0.0000) and Pt at (0.0050, 0.5025, 0.6552).

The value obtained for the total energy is -6.32 eV per atom. The crystal system is trigonal.

***

9.
VASP calculation (PBE) on a relaxed structure of SrBSN2.

The structure belongs to space group P4/mmm (No. 123); the cell edges are 3.841, 3.841 and 4.398 Å and the angles 90.00°, 90.00° and 90.00°. The distinct sites, in fractional coordinates, are Sr at (0.000, 0.000, 0.000), B at (0.500, 0.500, 0.500), S at (0.500, 0.500, 0.000) and N at (0.000, 0.500, 0.500).

The value obtained for the uncorrected formation energy is 0.771 eV/atom. As for the energy above the most stable polymorph in this dataset: 0 meV per atom. The crystal system is tetragonal.

***

10.
VASP calculation (PBE) on a relaxed structure of Ir6OsRh2.

The structure belongs to space group C2/c (No. 15); the cell edges are 10.238, 8.151 and 6.829 Å and the angles 90.00°, 94.34° and 90.00°. The distinct sites, in fractional coordinates, are Ir at (0.095, 0.154, 0.130), Ir at (0.112, 0.385, 0.867), Ir at (0.128, 0.313, 0.496), Os at (0.000, 0.118, 0.750) and Rh at (0.244, 0.087, 0.808).

As for the energy above the most stable polymorph in this dataset: 0 meV per atom. The crystal system is monoclinic.

***

11.
VASP calculation (PBE) on a relaxed structure of NaIn2Pb3.

The structure belongs to space group Cmmm (No. 65); the cell edges are 4.905, 14.278 and 4.996 Å and the angles 90.00°, 90.00° and 90.00°. The distinct sites, in fractional coordinates, are Na at (0.000, 0.000, 0.000), In at (0.000, 0.333, 0.000), Pb at (0.000, 0.168, 0.500) and Pb at (0.000, 0.500, 0.500).

As for the energy above the most stable polymorph in this dataset: 0 meV per atom. The crystal system is orthorhombic.

***

12.
VASP calculation (PBE) on a relaxed structure of BeAg2TeO.

The structure belongs to space group P4/mmm (No. 123); the cell edges are 5.819, 5.819 and 2.886 Å and the angles 90.00°, 90.00° and 90.00°. The distinct sites, in fractional coordinates, are Be at (0.000, 0.000, 0.000), Ag at (0.000, 0.500, 0.000), Te at (0.500, 0.500, 0.500) and O at (0.000, 0.000, 0.500).

The value obtained for the uncorrected formation energy is -0.486 eV/atom. The crystal system is tetragonal.

***

| no. | calculated volume (Å³/f.u.) |
| --- | --- |
| 1 | 309.2 |
| 2 | 242.6 |
| 3 | 101.2 |
| 4 | 104.4 |
| 5 | 89.1 |
| 6 | 95.4 |
| 7 | 78.0 |
| 8 | 337.1 |
| 9 | 64.9 |
| 10 | 142.1 |
| 11 | 174.9 |
| 12 | 97.7 |